# 1
First-principles (PBE) data for a relaxed LaMg3Sn3 crystal, as listed in the Alexandria database.

Summary:
Density ... 4.1 g cm⁻³
Excess energy over the best structure of this formula in the dataset ... 2.64 eV/f.u.
Space-group type ... Pm-3n
Formation energy ... 0.18 eV per atom

a = 7.698 Å, b = 7.698 Å, c = 7.698 Å
α = 90.00°, β = 90.00°, γ = 90.00°
Positions (direct):
Sn  0.000  0.250  0.500
Sn  0.500  0.000  0.250
Sn  0.500  0.000  0.750
Sn  0.750  0.500  0.000
Sn  0.250  0.500  0.000
Sn  0.000  0.750  0.500
La  0.000  0.000  0.000
La  0.500  0.500  0.500
Mg  0.500  0.750  0.000
Mg  0.750  0.000  0.500
Mg  0.250  0.000  0.500
Mg  0.000  0.500  0.750
Mg  0.500  0.250  0.000
Mg  0.000  0.500  0.250



# 2
First-principles (PBE) data for a relaxed NdHoCoCu crystal, as listed in the Alexandria database.

Summary:
Density ... 8.7 g cm⁻³
Excess energy over the best structure of this formula in the dataset ... 0.16 eV/f.u.
Space-group type ... F-43m
Formation energy ... -0.12 eV per atom

a = 4.887 Å, b = 4.887 Å, c = 4.887 Å
α = 60.00°, β = 60.00°, γ = 60.00°
Each line ends with the local moment (μB).
Positions (direct):
Co  0.750  0.750  0.750  0.61
Ho  0.000  0.000  0.000  -0.10
Cu  0.250  0.250  0.250  0.00
Nd  0.500  0.500  0.500  -0.05



# 3
First-principles (PBE) data for a relaxed Tl3BOs crystal, as listed in the Alexandria database.

Summary:
Density ... 12.1 g cm⁻³
Excess energy over the best structure of this formula in the dataset ... 0.77 eV/f.u.
Space-group type ... Pm-3m
Formation energy ... 1.56 eV per atom

a = 4.816 Å, b = 4.816 Å, c = 4.816 Å
α = 90.00°, β = 90.00°, γ = 90.00°
Each line ends with the local moment (μB).
Positions (direct):
Os  0.500  0.500  0.500  1.92
Tl  0.000  0.500  0.000  -0.02
Tl  0.000  0.000  0.500  0.01
Tl  0.500  0.000  0.000  -0.01
B  0.000  0.000  0.000  -0.01



# 4
First-principles (PBE) data for a relaxed BeCrI2 crystal, as listed in the Alexandria database.

Summary:
Density ... 4.5 g cm⁻³
Excess energy over the best structure of this formula in the dataset ... 0.00 eV/f.u.
E_form (uncorrected) ... 0.550 eV/atom
Space-group type ... I-42d

a = 6.073 Å, b = 6.073 Å, c = 7.661 Å
α = 66.65°, β = 66.65°, γ = 90.00°
Each line ends with the local moment (μB).
Positions (direct):
Be  0.500  0.500  0.000  -0.14
Be  0.250  0.750  0.500  -0.14
I  0.875  0.845  0.750  -0.04
I  0.155  0.625  0.250  -0.04
I  0.375  0.405  0.750  -0.04
I  0.595  0.125  0.250  -0.04
Cr  0.000  0.000  0.000  3.98
Cr  0.750  0.250  0.500  3.98



# 5
First-principles (PBE) data for a relaxed ScSnF2 crystal, as listed in the Alexandria database.

Summary:
Density ... 3.8 g cm⁻³
Excess energy over the best structure of this formula in the dataset ... 0.00 eV/f.u.
E_form (uncorrected) ... -2.257 eV/atom
Space-group type ... R-3m

a = 9.723 Å, b = 9.723 Å, c = 9.723 Å
α = 19.26°, β = 19.26°, γ = 19.26°
Each line ends with the local moment (μB).
Positions (direct):
Sn  0.000  0.000  0.000  -0.01
F  0.129  0.129  0.129  0.02
F  0.871  0.871  0.871  0.02
Sc  0.500  0.500  0.500  0.69



# 6
First-principles (PBE) data for a relaxed SrCd4Rh2 crystal, as listed in the Alexandria database.

Summary:
Density ... 7.9 g cm⁻³
Space-group type ... P4_2/mnm
Formation energy ... -0.22 eV per atom

a = 4.346 Å, b = 8.453 Å, c = 8.453 Å
α = 90.00°, β = 90.00°, γ = 90.00°
Positions (direct):
Cd  0.000  0.911  0.662
Cd  0.000  0.338  0.089
Cd  0.000  0.089  0.338
Cd  0.500  0.411  0.838
Cd  0.500  0.589  0.162
Cd  0.000  0.662  0.911
Cd  0.500  0.162  0.589
Cd  0.500  0.838  0.411
Sr  0.000  0.500  0.500
Sr  0.500  0.000  0.000
Rh  0.500  0.715  0.715
Rh  0.000  0.785  0.215
Rh  0.000  0.215  0.785
Rh  0.500  0.285  0.285



# 7
First-principles (PBE) data for a relaxed Ga3S4 crystal, as listed in the Alexandria database.

Summary:
Density ... 3.5 g cm⁻³
E_form (uncorrected) ... -0.530 eV/atom
Space-group type ... P-43m

a = 5.451 Å, b = 5.451 Å, c = 5.451 Å
α = 90.00°, β = 90.00°, γ = 90.00°
Positions (direct):
Ga  0.500  0.500  0.000
Ga  0.000  0.500  0.500
Ga  0.500  0.000  0.500
S  0.245  0.755  0.245
S  0.755  0.245  0.245
S  0.245  0.245  0.755
S  0.755  0.755  0.755



# 8
First-principles (PBE) data for a relaxed KInAu2 crystal, as listed in the Alexandria database.

Summary:
Density ... 9.6 g cm⁻³
Space-group type ... C2/m
Formation energy ... -0.11 eV per atom

a = 5.569 Å, b = 5.569 Å, c = 3.056 Å
α = 89.84°, β = 89.84°, γ = 90.27°
Positions (direct):
In  0.500  0.000  0.500
K  0.000  0.500  0.500
Au  0.500  0.500  0.000
Au  0.000  0.000  0.000



# 9
First-principles (PBE) data for a relaxed Na3TeN crystal, as listed in the Alexandria database.

Summary:
Density ... 3.1 g cm⁻³
Excess energy over the best structure of this formula in the dataset ... 0.00 eV/f.u.
E_form (uncorrected) ... -0.017 eV/atom
Space-group type ... Pm-3m

a = 4.839 Å, b = 4.839 Å, c = 4.839 Å
α = 90.00°, β = 90.00°, γ = 90.00°
Each line ends with the local moment (μB).
Positions (direct):
Na  0.000  0.500  0.000  0.00
Na  0.000  0.000  0.500  0.00
Na  0.500  0.000  0.000  0.00
N  0.000  0.000  0.000  1.01
Te  0.500  0.500  0.500  0.25



# 10
First-principles (PBE) data for a relaxed Cs2ScZn3F12 crystal, as listed in the Alexandria database.

Summary:
Density ... 4.1 g cm⁻³
E_form (uncorrected) ... -2.730 eV/atom
Space-group type ... R-3m

a = 7.638 Å, b = 7.638 Å, c = 7.638 Å
α = 58.09°, β = 58.09°, γ = 58.09°
Positions (direct):
Cs  0.620  0.620  0.620
Cs  0.380  0.380  0.380
F  0.073  0.073  0.676
F  0.927  0.324  0.927
F  0.315  0.315  0.926
F  0.074  0.685  0.685
F  0.927  0.927  0.324
F  0.676  0.073  0.073
F  0.685  0.685  0.074
F  0.324  0.927  0.927
F  0.685  0.074  0.685
F  0.073  0.676  0.073
F  0.926  0.315  0.315
F  0.315  0.926  0.315
Zn  0.000  0.500  0.000
Zn  0.000  0.000  0.500
Zn  0.500  0.000  0.000
Sc  0.000  0.000  0.000



# 11
First-principles (PBE) data for a relaxed Th4Si6Ru7 crystal, as listed in the Alexandria database.

Summary:
Density ... 9.9 g cm⁻³
E_form (uncorrected) ... -0.793 eV/atom
Space-group type ... Im-3m

a = 7.324 Å, b = 7.324 Å, c = 7.324 Å
α = 109.47°, β = 109.47°, γ = 109.47°
Positions (direct):
Ru  0.750  0.250  0.500
Ru  0.250  0.750  0.500
Ru  0.750  0.500  0.250
Ru  0.500  0.750  0.250
Ru  0.500  0.250  0.750
Ru  0.250  0.500  0.750
Ru  0.000  0.000  0.000
Th  0.500  0.500  0.500
Th  0.500  0.000  0.000
Th  0.000  0.500  0.000
Th  0.000  0.000  0.500
Si  0.000  0.668  0.668
Si  0.000  0.332  0.332
Si  0.668  0.668  0.000
Si  0.668  0.000  0.668
Si  0.332  0.000  0.332
Si  0.332  0.332  0.000



# 12
First-principles (PBE) data for a relaxed Mn3AlNi4 crystal, as listed in the Alexandria database.

Summary:
Density ... 7.2 g cm⁻³
Space-group type ... I4/mmm
Formation energy ... -0.21 eV per atom

a = 4.018 Å, b = 4.018 Å, c = 6.711 Å
α = 107.38°, β = 107.42°, γ = 90.00°
Each line ends with the local moment (μB).
Positions (direct):
Al  0.500  0.000  0.000  -0.03
Ni  0.375  0.375  0.751  0.60
Ni  0.875  0.876  0.751  0.60
Ni  0.625  0.625  0.249  0.60
Ni  0.125  0.124  0.249  0.60
Mn  0.000  0.500  0.000  3.39
Mn  0.749  0.249  0.498  3.48
Mn  0.251  0.751  0.502  3.48



# 13
First-principles (PBE) data for a relaxed SrZn2B crystal, as listed in the Alexandria database.

Summary:
Density ... 4.5 g cm⁻³
Space-group type ... I4_1/amd
Formation energy ... 0.21 eV per atom

a = 4.923 Å, b = 4.923 Å, c = 7.787 Å
α = 71.57°, β = 71.57°, γ = 90.00°
Positions (direct):
Zn  0.875  0.625  0.750
Zn  0.375  0.625  0.750
Zn  0.375  0.125  0.250
Zn  0.375  0.625  0.250
B  0.500  0.500  0.000
B  0.250  0.750  0.500
Sr  0.000  0.000  0.000
Sr  0.750  0.250  0.500



# 14
First-principles (PBE) data for a relaxed LaHg2Pt2 crystal, as listed in the Alexandria database.

Summary:
Density ... 13.7 g cm⁻³
Excess energy over the best structure of this formula in the dataset ... 0.71 eV/f.u.
Space-group type ... P4/mbm
Formation energy ... -0.43 eV per atom

a = 7.468 Å, b = 7.468 Å, c = 4.033 Å
α = 90.00°, β = 90.00°, γ = 90.00°
Positions (direct):
Hg  0.165  0.665  0.500
Hg  0.835  0.335  0.500
Hg  0.665  0.835  0.500
Hg  0.335  0.165  0.500
Pt  0.871  0.629  0.000
Pt  0.129  0.371  0.000
Pt  0.371  0.871  0.000
Pt  0.629  0.129  0.000
La  0.000  0.000  0.000
La  0.500  0.500  0.000



# 15
First-principles (PBE) data for a relaxed NaNb2I crystal, as listed in the Alexandria database.

Summary:
Density ... 6.2 g cm⁻³
E_form (uncorrected) ... 0.694 eV/atom
Space-group type ... I-42d

a = 4.002 Å, b = 4.002 Å, c = 11.557 Å
α = 80.03°, β = 80.03°, γ = 90.00°
Positions (direct):
Nb  0.636  0.125  0.250
Nb  0.375  0.364  0.750
Nb  0.114  0.625  0.250
Nb  0.875  0.886  0.750
Na  0.500  0.500  0.000
Na  0.250  0.750  0.500
I  0.000  0.000  0.000
I  0.750  0.250  0.500



# 16
First-principles (PBE) data for a relaxed Sr2Sc crystal, as listed in the Alexandria database.

Summary:
Density ... 2.9 g cm⁻³
Excess energy over the best structure of this formula in the dataset ... 0.14 eV/f.u.
Space-group type ... C2/m
Formation energy ... 0.26 eV per atom

a = 8.270 Å, b = 8.270 Å, c = 8.351 Å
α = 75.27°, β = 75.27°, γ = 27.50°
Each line ends with the local moment (μB).
Positions (direct):
Sr  0.870  0.870  0.061  0.04
Sr  0.166  0.166  0.400  0.06
Sr  0.130  0.130  0.939  0.04
Sr  0.834  0.834  0.600  0.06
Sc  0.506  0.506  0.688  0.56
Sc  0.494  0.494  0.312  0.56



# 17
First-principles (PBE) data for a relaxed TmTcN crystal, as listed in the Alexandria database.

Summary:
Density ... 11.0 g cm⁻³
E_form (uncorrected) ... -1.061 eV/atom
Space-group type ... P4/nmm

a = 3.300 Å, b = 3.300 Å, c = 15.614 Å
α = 90.00°, β = 90.00°, γ = 90.00°
Positions (direct):
Tc  0.250  0.250  0.040
Tc  0.750  0.750  0.960
Tc  0.750  0.750  0.460
Tc  0.250  0.250  0.540
Tm  0.251  0.250  0.828
Tm  0.749  0.750  0.172
Tm  0.249  0.250  0.328
Tm  0.751  0.750  0.672
N  0.249  0.250  0.176
N  0.749  0.750  0.324
N  0.751  0.750  0.824
N  0.251  0.250  0.676



# 18
First-principles (PBE) data for a relaxed ZnCdHgAu crystal, as listed in the Alexandria database.

Summary:
Density ... 12.1 g cm⁻³
Space-group type ... F-43m
Formation energy ... 0.03 eV per atom

a = 4.814 Å, b = 4.814 Å, c = 4.814 Å
α = 60.00°, β = 60.00°, γ = 60.00°
Positions (direct):
Zn  0.750  0.750  0.750
Hg  0.000  0.000  0.000
Au  0.500  0.500  0.500
Cd  0.250  0.250  0.250



# 19
First-principles (PBE) data for a relaxed Nd3DyHg2 crystal, as listed in the Alexandria database.

Summary:
Density ... 9.2 g cm⁻³
Excess energy over the best structure of this formula in the dataset ... 0.00 eV/f.u.
Space-group type ... Pmc2_1
Formation energy ... -0.33 eV per atom

a = 5.290 Å, b = 7.087 Å, c = 9.590 Å
α = 90.00°, β = 90.00°, γ = 90.00°
Positions (direct):
Nd  0.500  0.176  0.824
Nd  0.000  0.822  0.670
Nd  0.000  0.322  0.330
Nd  0.500  0.676  0.176
Nd  0.000  0.987  0.053
Nd  0.000  0.487  0.947
Dy  0.500  0.514  0.553
Dy  0.500  0.014  0.447
Hg  0.000  0.772  0.351
Hg  0.000  0.272  0.649
Hg  0.500  0.229  0.153
Hg  0.500  0.729  0.847



# 20
First-principles (PBE) data for a relaxed TbPr8Cd2 crystal, as listed in the Alexandria database.

Summary:
Density ... 6.8 g cm⁻³
Excess energy over the best structure of this formula in the dataset ... 0.00 eV/f.u.
Space-group type ... C2/m
Formation energy ... -0.07 eV per atom

a = 5.448 Å, b = 8.571 Å, c = 9.049 Å
α = 112.95°, β = 107.52°, γ = 90.00°
Positions (direct):
Pr  0.397  0.532  0.794
Pr  0.852  0.794  0.704
Pr  0.603  0.468  0.206
Pr  0.687  0.955  0.375
Pr  0.948  0.261  0.896
Pr  0.148  0.206  0.296
Pr  0.052  0.739  0.104
Pr  0.313  0.045  0.625
Tb  0.500  0.000  0.000
Cd  0.778  0.368  0.557
Cd  0.222  0.632  0.443



# 21
First-principles (PBE) data for a relaxed TlZnSi2 crystal, as listed in the Alexandria database.

Summary:
Density ... 6.8 g cm⁻³
Excess energy over the best structure of this formula in the dataset ... 0.42 eV/f.u.
E_form (uncorrected) ... 0.367 eV/atom
Space-group type ... P4mm

a = 3.316 Å, b = 3.316 Å, c = 7.250 Å
α = 90.00°, β = 90.00°, γ = 90.00°
Positions (direct):
Zn  0.500  0.500  0.804
Si  0.500  0.500  0.162
Si  0.000  0.000  0.025
Tl  0.000  0.000  0.509



# 22
First-principles (PBE) data for a relaxed TbErTmCu crystal, as listed in the Alexandria database.

Summary:
Density ... 9.0 g cm⁻³
Space-group type ... P4mm
Formation energy ... -0.11 eV per atom

a = 3.450 Å, b = 3.450 Å, c = 8.649 Å
α = 90.00°, β = 90.00°, γ = 90.00°
Positions (direct):
Tb  0.000  0.000  0.072
Tm  0.500  0.500  0.375
Cu  0.000  0.000  0.569
Er  0.500  0.500  0.768



# 23
First-principles (PBE) data for a relaxed Zr2AgPd4 crystal, as listed in the Alexandria database.

Summary:
Density ... 7.5 g cm⁻³
Space-group type ... I4/mmm
Formation energy ... 0.36 eV per atom

a = 4.889 Å, b = 4.889 Å, c = 7.473 Å
α = 109.09°, β = 109.09°, γ = 90.00°
Positions (direct):
Ag  0.000  0.000  0.000
Pd  0.000  0.500  0.000
Pd  0.500  0.000  0.000
Pd  0.800  0.800  0.600
Pd  0.200  0.200  0.400
Zr  0.614  0.614  0.229
Zr  0.386  0.386  0.771



# 24
First-principles (PBE) data for a relaxed BaReSbI2 crystal, as listed in the Alexandria database.

Summary:
Density ... 3.8 g cm⁻³
Excess energy over the best structure of this formula in the dataset ... 5.37 eV/f.u.
E_form (uncorrected) ... 1.046 eV/atom
Space-group type ... P4/mmm

a = 6.628 Å, b = 6.628 Å, c = 7.041 Å
α = 90.00°, β = 90.00°, γ = 90.00°
Each line ends with the local moment (μB).
Positions (direct):
Sb  0.000  0.000  0.500  -0.70
I  0.000  0.500  0.000  -0.02
I  0.500  0.000  0.000  -0.02
Re  0.500  0.500  0.500  4.32
Ba  0.000  0.000  0.000  -0.01